Entry 1:
DFT (PBE-GGA) results for an optimized crystal structure of InGaPd2.

Cell lengths 4.1206, 4.1206, 17.8091 Å; angles 90.00, 90.00, 90.00 degrees
Closest atoms and distances in Å follow each position.
Space group I-42d (No. 122)
Symmetry-distinct sites (fractional):
In 0.0000 0.0000 0.0000 (multiplicity 4)  4 Pd 2.69, 4 Ga 2.91
Ga 0.0000 0.0000 0.5000 (multiplicity 4)  4 Pd 2.63, 4 In 2.91
Pd 0.2321 0.2500 0.6250 (multiplicity 8)  2 Ga 2.63, 2 In 2.69, 2 Pd 2.81

Calculated values
The density of states at the Fermi level comes out at 0.53 states/eV/atom. The theoretical density is 8.7 g/cm³. As for the raw total energy: -4.24 eV per atom. Its energy of formation from the pure elements is -0.20 eV/atom.

=====

Entry 2:
DFT (PBE-GGA) results for an optimized crystal structure of Sb2PAu.

Cell lengths 3.5991, 5.5372, 9.1501 Å; angles 90.00, 90.00, 90.00 degrees
Closest atoms and distances in Å follow each position.
Space group Cmm2 (No. 35)
Symmetry-distinct sites (fractional):
Sb 0.0000 0.0000 0.0000 (multiplicity 2)  2 P 2.74
Sb 0.0000 0.5000 0.3299 (multiplicity 2)  2 Au 2.85
P 0.0000 0.5000 0.7749 (multiplicity 2)  2 Au 2.59, 2 Sb 2.74
Au 0.0000 0.0000 0.5719 (multiplicity 2)  2 P 2.59, 2 Sb 2.85

Calculated values
The density of states at the Fermi level comes out at 0.48 states/eV/atom. The theoretical density is 8.6 g/cm³. As for the raw total energy: -3.87 eV per atom. The formation energy from raw total energies is 358.9 meV/atom.

=====

Entry 3:
DFT (PBE-GGA) results for an optimized crystal structure of CeSi4Pt12.

Cell lengths 8.4269, 8.4269, 8.4269 Å; angles 90.00, 90.00, 90.00 degrees
Closest atoms and distances in Å follow each position.
Space group Im-3 (No. 204)
Symmetry-distinct sites (fractional):
Ce 0.0000 0.0000 0.0000 (multiplicity 2)  12 Pt 3.18
Si 0.2500 0.2500 0.2500 (multiplicity 8)  6 Pt 2.36
Pt 0.0000 0.1617 0.3405 (multiplicity 24)  2 Si 2.36

Calculated values
The density of states at the Fermi level comes out at 0.49 states/eV/atom. The theoretical density is 14.4 g/cm³. As for the raw total energy: -6.35 eV per atom. The formation energy from raw total energies is -465.6 meV/atom.

=====

- Which formula does entry 3 have?
  CeSi4Pt12